1.
Compound: Sb5IO7
Source: Alexandria
Functional: GGA-PBE
Structure: relaxed

Values from the calculation:
- space group = P-62c (190)
- uncorrected formation energy (eV per atom) = -1.22
- spin magnetization (μB per formula unit) = 0.0

Lattice parameters (Å, degrees): 6.9459 6.9459 12.9645 90.00 90.00 120.00
Element x y z (fractional)
Sb (0.0385, 0.3608, 0.2500)
Sb (0.3223, 0.9615, 0.2500)
Sb (0.3333, 0.6667, 0.5535)
Sb (0.3333, 0.6667, 0.9465)
Sb (0.3608, 0.0385, 0.7500)
Sb (0.6392, 0.6777, 0.2500)
Sb (0.6667, 0.3333, 0.0535)
Sb (0.6667, 0.3333, 0.4465)
Sb (0.6777, 0.6392, 0.7500)
Sb (0.9615, 0.3223, 0.7500)
I (0.0000, 0.0000, 0.0000)
I (0.0000, 0.0000, 0.5000)
O (0.0578, 0.5520, 0.6403)
O (0.0578, 0.5520, 0.8597)
O (0.3333, 0.6667, 0.2500)
O (0.4480, 0.5058, 0.6403)
O (0.4480, 0.5058, 0.8597)
O (0.4942, 0.9422, 0.6403)
O (0.4942, 0.9422, 0.8597)
O (0.5058, 0.4480, 0.1403)
O (0.5058, 0.4480, 0.3597)
O (0.5520, 0.0578, 0.1403)
O (0.5520, 0.0578, 0.3597)
O (0.6667, 0.3333, 0.7500)
O (0.9422, 0.4942, 0.1403)
O (0.9422, 0.4942, 0.3597)

2.
Compound: SbI2O2
Source: Alexandria
Functional: GGA-PBE
Structure: relaxed

Values from the calculation:
- space group = P4/mmm (123)
- uncorrected formation energy (eV per atom) = 0.29
- spin magnetization (μB per formula unit) = 0.3

Lattice parameters (Å, degrees): 4.1982 4.1982 7.9458 90.00 90.00 90.00
Element x y z (fractional)
Sb (0.0000, 0.0000, 0.0000)
I (0.5000, 0.5000, 0.0000)
I (0.5000, 0.5000, 0.5000)
O (0.0000, 0.5000, 0.5000)
O (0.5000, 0.0000, 0.5000)

3.
Compound: Sb4I3O2
Source: Alexandria
Functional: GGA-PBE
Structure: relaxed

Values from the calculation:
- space group = C2/c (15)
- uncorrected formation energy (eV per atom) = -0.44
- spin magnetization (μB per formula unit) = 0.0

Lattice parameters (Å, degrees): 10.2965 10.2965 6.2934 102.33 102.33 59.95
Element x y z (fractional)
Sb (0.1515, 0.1693, 0.2529)
Sb (0.1679, 0.4526, 0.1812)
Sb (0.1693, 0.1515, 0.7529)
Sb (0.4526, 0.1679, 0.6812)
Sb (0.5474, 0.8321, 0.3188)
Sb (0.8307, 0.8485, 0.2471)
Sb (0.8321, 0.5474, 0.8188)
Sb (0.8485, 0.8307, 0.7471)
I (0.1585, 0.8415, 0.2500)
I (0.2057, 0.5597, 0.6641)
I (0.4403, 0.7943, 0.8359)
I (0.5597, 0.2057, 0.1641)
I (0.7943, 0.4403, 0.3359)
I (0.8415, 0.1585, 0.7500)
O (0.0573, 0.3850, 0.8527)
O (0.3850, 0.0573, 0.3527)
O (0.6150, 0.9427, 0.6473)
O (0.9427, 0.6150, 0.1473)

4.
Compound: SbIO3
Source: Alexandria
Functional: GGA-PBE
Structure: relaxed

Values from the calculation:
- space group = Pm-3m (221)
- uncorrected formation energy (eV per atom) = 0.24
- spin magnetization (μB per formula unit) = 0.0

Lattice parameters (Å, degrees): 4.2454 4.2454 4.2454 90.00 90.00 90.00
Element x y z (fractional)
Sb (0.0000, 0.0000, 0.0000)
I (0.5000, 0.5000, 0.5000)
O (0.0000, 0.5000, 0.5000)
O (0.5000, 0.0000, 0.5000)
O (0.5000, 0.5000, 0.0000)

5.
Compound: Sb2I2O
Source: Alexandria
Functional: GGA-PBE
Structure: relaxed

Values from the calculation:
- space group = C2/m (12)
- uncorrected formation energy (eV per atom) = -0.39
- spin magnetization (μB per formula unit) = 0.0

Lattice parameters (Å, degrees): 8.3098 8.3098 13.7854 122.06 122.06 29.59
Element x y z (fractional)
Sb (0.0404, 0.0404, 0.1334)
Sb (0.3451, 0.3451, 0.5362)
Sb (0.6549, 0.6549, 0.4638)
Sb (0.9596, 0.9596, 0.8666)
I (0.2970, 0.2970, 0.7859)
I (0.3956, 0.3956, 0.1157)
I (0.6044, 0.6044, 0.8843)
I (0.7030, 0.7030, 0.2141)
O (0.1990, 0.1990, 0.4750)
O (0.8010, 0.8010, 0.5250)

6.
Compound: SbIO2
Source: Alexandria
Functional: GGA-PBE
Structure: relaxed

Values from the calculation:
- space group = R-3m (166)
- uncorrected formation energy (eV per atom) = -0.50
- spin magnetization (μB per formula unit) = 0.0

Lattice parameters (Å, degrees): 6.7304 6.7304 6.7304 32.36 32.36 32.36
Element x y z (fractional)
Sb (0.0000, 0.0000, 0.0000)
I (0.5000, 0.5000, 0.5000)
O (0.3837, 0.3837, 0.3837)
O (0.6163, 0.6163, 0.6163)

7.
Compound: Sb4IO6
Source: Alexandria
Functional: GGA-PBE
Structure: relaxed

Values from the calculation:
- space group = C2/m (12)
- uncorrected formation energy (eV per atom) = -1.16
- spin magnetization (μB per formula unit) = 0.0

Lattice parameters (Å, degrees): 9.9966 9.9966 11.8169 110.36 110.36 24.00
Element x y z (fractional)
Sb (0.0019, 0.0019, 0.2382)
Sb (0.1924, 0.1924, 0.8158)
Sb (0.2355, 0.2355, 0.3433)
Sb (0.4203, 0.4203, 0.5229)
Sb (0.5797, 0.5797, 0.4771)
Sb (0.7645, 0.7645, 0.6567)
Sb (0.8076, 0.8076, 0.1842)
Sb (0.9981, 0.9981, 0.7618)
I (0.3625, 0.3625, 0.9910)
I (0.6375, 0.6375, 0.0090)
O (0.0695, 0.0695, 0.4152)
O (0.0869, 0.0869, 0.7136)
O (0.2321, 0.2321, 0.6795)
O (0.2951, 0.2951, 0.2267)
O (0.3144, 0.3144, 0.5070)
O (0.4718, 0.4718, 0.7070)
O (0.5282, 0.5282, 0.2930)
O (0.6856, 0.6856, 0.4930)
O (0.7049, 0.7049, 0.7733)
O (0.7679, 0.7679, 0.3205)
O (0.9131, 0.9131, 0.2864)
O (0.9305, 0.9305, 0.5848)

8.
Compound: SbIO2
Source: Alexandria
Functional: GGA-PBE
Structure: relaxed

Values from the calculation:
- space group = Fm-3m (225)
- uncorrected formation energy (eV per atom) = 0.39
- spin magnetization (μB per formula unit) = 0.8

Lattice parameters (Å, degrees): 4.4900 4.4900 4.4900 60.00 60.00 60.00
Element x y z (fractional)
Sb (0.0000, 0.0000, 0.0000)
I (0.5000, 0.5000, 0.5000)
O (0.2500, 0.2500, 0.2500)
O (0.7500, 0.7500, 0.7500)